Ac3Mg3In2Hg: relaxed, PBE.

Computed properties:
For the magnetization, the calculation gives 0.000 μB per atom. As for the space group: P-62m (189). Its formation energy is -0.39 eV/atom.

Unit cell a=4.994 b=7.985 c=7.985 alpha=120.00 beta=90.00 gamma=90.00
Element x y z (fractional)
In (0.500, 0.333, 0.667)
Ac (0.000, 0.583, 0.583)
Ac (0.000, 0.417, 0.000)
In (0.500, 0.667, 0.333)
Mg (0.500, 0.235, 0.235)
Mg (0.500, 0.765, 0.000)
Mg (0.500, 0.000, 0.765)
Ac (0.000, 0.000, 0.417)
Hg (0.000, 0.000, 0.000)

CaCd4Pt2: relaxed, PBE.

Computed properties:
For the magnetization, the calculation gives 0.000 μB per atom. As for the space group: P4_2/mnm (136). Its formation energy is -0.43 eV/atom.

Unit cell a=4.636 b=8.148 c=8.148 alpha=90.00 beta=90.00 gamma=90.00
Element x y z (fractional)
Cd (0.500, 0.592, 0.158)
Cd (0.500, 0.842, 0.408)
Pt (0.500, 0.268, 0.268)
Cd (0.000, 0.092, 0.342)
Ca (0.000, 0.500, 0.500)
Cd (0.500, 0.408, 0.842)
Pt (0.000, 0.232, 0.768)
Ca (0.500, 0.000, 0.000)
Cd (0.500, 0.158, 0.592)
Cd (0.000, 0.342, 0.092)
Cd (0.000, 0.658, 0.908)
Pt (0.500, 0.732, 0.732)
Cd (0.000, 0.908, 0.658)
Pt (0.000, 0.768, 0.232)

CaAc6Mg: relaxed, PBE.

Computed properties:
For the magnetization, the calculation gives 0.000 μB per atom. As for the space group: P-1 (2). As for the relative energy among the computed polymorphs: 121 meV/atom. Its formation energy is 0.13 eV/atom.

Unit cell a=10.389 b=9.470 c=7.029 alpha=47.69 beta=42.36 gamma=56.81
Element x y z (fractional)
Ac (0.763, 0.953, 0.723)
Mg (0.000, 0.000, 0.000)
Ac (0.047, 0.439, 0.751)
Ac (0.237, 0.047, 0.277)
Ca (0.500, 0.500, 0.500)
Ac (0.953, 0.561, 0.249)
Ac (0.561, 0.237, 0.156)
Ac (0.439, 0.763, 0.844)

BaFeP2: relaxed, PBE.

Computed properties:
For the magnetization, the calculation gives 0.182 μB per atom. As for the space group: Immm (71). As for the relative energy among the computed polymorphs: 168 meV/atom. Its formation energy is -0.40 eV/atom.

Unit cell a=5.274 b=5.274 c=5.274 alpha=136.98 beta=105.08 gamma=90.50
Last column: magnetic moment on the atom in μB.
Element x y z (fractional)
P (0.398, 0.398, 0.000)  -0.02
Fe (0.250, 0.750, 0.500)  0.80
Ba (0.750, 0.250, 0.500)  -0.01
P (0.102, 0.102, 0.000)  -0.02